No. 1
RbMnSbTe2 | Alexandria via LeMat-Bulk | PBE | relaxed; DOS(E_F) = 3.74 states/eV/cell; E_tot = -4.26 eV per atom; space group = P4/mmm; energy relative to the elements, uncorrected = -0.150 eV per atom; total moment = 3.5 μB/cell
1.0
5.554 0.000 0.000
0.000 5.554 0.000
0.000 0.000 5.169
Rb Mn Sb Te
1 1 1 2
Direct
0.000 0.000 0.000
0.500 0.500 0.500
0.500 0.500 0.000
0.000 0.500 0.500
0.500 0.000 0.500

No. 2
RbMnSbTe2 | Alexandria via LeMat-Bulk | PBE | relaxed; DOS(E_F) = 6.95 states/eV/cell; E_tot = -2.72 eV per atom; space group = P4/mmm; energy relative to the elements, uncorrected = 1.390 eV per atom; total moment = 5.0 μB/cell
1.0
6.201 0.000 0.000
0.000 6.201 0.000
0.000 0.000 6.053
Rb Mn Sb Te
1 1 1 2
Direct
0.000 0.000 0.000
0.500 0.500 0.500
0.000 0.000 0.500
0.000 0.500 0.000
0.500 0.000 0.000

No. 3
RbMnSb2Te | Alexandria via LeMat-Bulk | PBE | relaxed; DOS(E_F) = 7.60 states/eV/cell; E_tot = -4.17 eV per atom; space group = P4/mmm; energy relative to the elements, uncorrected = 0.132 eV per atom; total moment = 0.0 μB/cell
1.0
4.973 0.000 0.000
0.000 4.973 0.000
0.000 0.000 6.027
Rb Mn Sb Te
1 1 2 1
Direct
0.000 0.000 0.000
0.500 0.500 0.500
0.000 0.500 0.500
0.500 0.000 0.500
0.500 0.500 0.000

No. 4
Rb2MnSbTe4 | Alexandria via LeMat-Bulk | PBE | relaxed; DOS(E_F) = 7.59 states/eV/cell; E_tot = -3.89 eV per atom; space group = Imma; energy relative to the elements, uncorrected = -0.418 eV per atom; total moment = 8.0 μB/cell
1.0
-4.549 4.753 6.559
4.549 -4.753 6.559
4.549 4.753 -6.559
Rb Mn Sb Te
4 2 2 8
Direct
0.000 0.000 0.000
0.500 0.000 0.000
0.500 0.000 0.500
0.500 0.500 0.500
0.000 0.000 0.500
0.000 0.500 0.000
0.000 0.500 0.500
0.500 0.500 0.000
0.183 0.737 0.446
0.209 0.263 0.946
0.217 0.244 0.527
0.217 0.690 0.973
0.783 0.310 0.027
0.783 0.756 0.473
0.791 0.737 0.054
0.817 0.263 0.554

No. 5
RbMn2ZnSb | Alexandria via LeMat-Bulk | PBE | relaxed; DOS(E_F) = 4.63 states/eV/cell; E_tot = -4.20 eV per atom; space group = P4/mmm; energy relative to the elements, uncorrected = 0.742 eV per atom; total moment = 8.0 μB/cell
1.0
5.154 0.000 0.000
0.000 5.154 0.000
0.000 0.000 7.033
Rb Mn Zn Sb
1 2 1 1
Direct
0.000 0.000 0.000
0.000 0.500 0.500
0.500 0.000 0.500
0.500 0.500 0.000
0.000 0.000 0.500

No. 6
RbSc3Mn | Alexandria via LeMat-Bulk | PBE | relaxed; DOS(E_F) = 10.30 states/eV/cell; E_tot = -3.78 eV per atom; space group = Pm-3m; total moment = 0.0 μB/cell; DFT formation energy = 2.05 eV/atom
1.0
4.929 0.000 0.000
0.000 4.929 0.000
0.000 0.000 4.929
Rb Sc Mn
1 3 1
Direct
0.000 0.000 0.000
0.000 0.000 0.500
0.000 0.500 0.000
0.500 0.000 0.000
0.500 0.500 0.500

No. 7
Rb2ScMn | Alexandria via LeMat-Bulk | PBE | relaxed; DOS(E_F) = 2.52 states/eV/cell; E_tot = -3.17 eV per atom; space group = Fm-3m; total moment = 2.5 μB/cell; DFT formation energy = 1.19 eV/atom
1.0
0.000 4.406 4.406
4.406 0.000 4.406
4.406 4.406 0.000
Rb Sc Mn
2 1 1
Direct
0.250 0.250 0.250
0.750 0.750 0.750
0.000 0.000 0.000
0.500 0.500 0.500

No. 8
RbSc3Mn | Alexandria via LeMat-Bulk | PBE | relaxed; DOS(E_F) = 8.48 states/eV/cell; E_tot = -5.33 eV per atom; space group = Pm-3m; total moment = 0.0 μB/cell; DFT formation energy = 0.50 eV/atom
1.0
5.128 0.000 0.000
0.000 5.128 0.000
0.000 0.000 5.128
Rb Sc Mn
1 3 1
Direct
0.000 0.000 0.000
0.000 0.500 0.500
0.500 0.000 0.500
0.500 0.500 0.000
0.500 0.500 0.500